(1)
{
  "formula": "YCrP2Rh5",
  "functional": "PBE",
  "state": "optimized geometry",
  "total_energy_ev_per_atom": -7.35,
  "lattice": [[-1.1272, -4.1679, -0.4271], [2.4027, -1.0053, 3.4700], [-7.6171, 1.4757, 5.7017]],
  "species": ["Y", "Cr", "P", "P", "Rh", "Rh", "Rh", "Rh", "Rh"],
  "fractional_positions": [[0.5000, 0.5000, 0.5000], [0.0000, 0.0000, 0.0000], [0.0000, 0.0000, 0.2421], [0.0000, 0.0000, 0.7579], [0.0000, 0.0000, 0.5000], [0.0000, 0.5000, 0.7063], [0.5000, 0.0000, 0.2937], [0.0000, 0.5000, 0.2937], [0.5000, 0.0000, 0.7063]]
}

(2)
{
  "formula": "Tb3Pm6DyY2",
  "functional": "PBE",
  "state": "optimized geometry",
  "total_energy_ev_per_atom": -4.98,
  "lattice": [[-3.6035, -0.2129, -5.1123], [3.5039, -4.9435, 1.5656], [-8.8014, -2.5212, 7.5815]],
  "species": ["Tb", "Tb", "Tb", "Pm", "Pm", "Pm", "Pm", "Pm", "Pm", "Dy", "Y", "Y"],
  "fractional_positions": [[0.1667, 0.8333, 0.5000], [0.8333, 0.1667, 0.5000], [0.5000, 0.5000, 0.5000], [0.9162, 0.5837, 0.7499], [0.7511, 0.7511, 0.2502], [0.0838, 0.4163, 0.2501], [0.5837, 0.9162, 0.7499], [0.2489, 0.2489, 0.7498], [0.4163, 0.0838, 0.2501], [0.0000, 0.0000, 0.0000], [0.3334, 0.6666, 0.0000], [0.6666, 0.3334, 0.0000]]
}

(3)
{
  "formula": "Ti2Si2Pd",
  "functional": "PBE",
  "state": "optimized geometry",
  "raw_formation_energy_mev_per_atom": -789.9,
  "lattice": [[6.2707, 0.0000, 0.0000], [0.0000, 6.2707, 0.0000], [0.0000, 0.0000, 3.7944]],
  "species": ["Si", "Si", "Si", "Si", "Pd", "Pd", "Ti", "Ti", "Ti", "Ti"],
  "fractional_positions": [[0.3684, 0.8684, 0.0000], [0.8684, 0.6316, 0.0000], [0.6316, 0.1316, 0.0000], [0.1316, 0.3684, 0.0000], [0.0000, 0.0000, 0.0000], [0.5000, 0.5000, 0.0000], [0.1687, 0.6687, 0.5000], [0.6687, 0.8313, 0.5000], [0.8313, 0.3313, 0.5000], [0.3313, 0.1687, 0.5000]]
}

(4)
{
  "formula": "PrYInPb",
  "functional": "PBE",
  "state": "optimized geometry",
  "de_polymorph_mev_per_atom": 0.0,
  "lattice": [[-3.3093, -0.4578, -3.8124], [1.0429, -4.9510, -0.3107], [-2.1423, 1.8293, 5.0099]],
  "species": ["Pr", "Y", "In", "Pb"],
  "fractional_positions": [[0.5000, 0.5000, 0.0000], [0.0000, 0.0000, 0.0000], [0.2500, 0.7500, 0.5000], [0.7500, 0.2500, 0.5000]]
}

(5)
{
  "formula": "TbNiSn2",
  "functional": "PBE",
  "state": "optimized geometry",
  "total_energy_ev_per_atom": -5.15,
  "lattice": [[4.4531, 0.0000, 0.0000], [0.0000, 9.2326, 0.0000], [-2.2265, -4.6163, 8.6075]],
  "species": ["Tb", "Tb", "Tb", "Tb", "Ni", "Ni", "Ni", "Ni", "Sn", "Sn", "Sn", "Sn", "Sn", "Sn", "Sn", "Sn"],
  "fractional_positions": [[0.7048, 0.7048, 0.4096], [0.5000, 0.2656, 0.0000], [0.5000, 0.7344, 0.0000], [0.2952, 0.2952, 0.5904], [0.8524, 0.5984, 0.7048], [0.1476, 0.4016, 0.2952], [0.1476, 0.8936, 0.2952], [0.8524, 0.1064, 0.7048], [0.9194, 0.4194, 0.8389], [0.6967, 0.3600, 0.3933], [0.6967, 0.0333, 0.3933], [0.3033, 0.6400, 0.6067], [0.0836, 0.0836, 0.1673], [0.0806, 0.5806, 0.1611], [0.9164, 0.9164, 0.8327], [0.3033, 0.9667, 0.6067]]
}

(6)
{
  "formula": "SmBe3Pt",
  "functional": "PBE",
  "state": "optimized geometry",
  "total_energy_ev_per_atom": -4.74,
  "lattice": [[4.3092, 0.0000, 0.0000], [0.0000, 4.3092, 0.0000], [0.0000, 0.0000, 4.3092]],
  "species": ["Be", "Be", "Be", "Sm", "Pt"],
  "fractional_positions": [[0.0000, 0.5000, 0.0000], [0.0000, 0.0000, 0.5000], [0.5000, 0.0000, 0.0000], [0.5000, 0.5000, 0.5000], [0.0000, 0.0000, 0.0000]]
}